Record 1
Compound: Al11Re4
Source: OQMD
Functional: PBE
Structure: optimized geometry

Lattice parameters (Å, degrees): 9.631 9.631 4.911 90.00 90.00 90.00
Sites, in units of the cell vectors:
Al (0.000, 0.000, 0.000)
Al (0.039, 0.267, 0.000)
Al (0.102, 0.102, 0.500)
Al (0.200, 0.800, 0.252)
Al (0.200, 0.800, 0.748)
Al (0.233, 0.539, 0.500)
Al (0.267, 0.039, 0.000)
Al (0.300, 0.300, 0.248)
Al (0.300, 0.300, 0.752)
Al (0.398, 0.602, 0.000)
Al (0.461, 0.767, 0.500)
Al (0.500, 0.500, 0.500)
Al (0.539, 0.233, 0.500)
Al (0.602, 0.398, 0.000)
Al (0.700, 0.700, 0.248)
Al (0.700, 0.700, 0.752)
Al (0.733, 0.961, 0.000)
Al (0.767, 0.461, 0.500)
Al (0.800, 0.200, 0.252)
Al (0.800, 0.200, 0.748)
Al (0.898, 0.898, 0.500)
Al (0.961, 0.733, 0.000)
Re (0.008, 0.357, 0.500)
Re (0.143, 0.508, 0.000)
Re (0.357, 0.008, 0.500)
Re (0.492, 0.857, 0.000)
Re (0.508, 0.143, 0.000)
Re (0.643, 0.992, 0.500)
Re (0.857, 0.492, 0.000)
Re (0.992, 0.643, 0.500)

Values from the calculation:
V	15.18	Å³ per atom
electronic total energy	-6.0945	eV/atom
total moment	0.30	μB per cell

Record 2
Compound: Al2Re
Source: OQMD
Functional: PBE
Structure: optimized geometry

Lattice parameters (Å, degrees): 6.688 6.688 2.673 90.00 90.00 90.00
Sites, in units of the cell vectors:
Al (0.234, 0.234, 0.000)
Al (0.266, 0.734, 0.500)
Al (0.734, 0.266, 0.500)
Al (0.766, 0.766, 0.000)
Re (0.000, 0.000, 0.500)
Re (0.500, 0.500, 0.000)

Values from the calculation:
V	19.93	Å³ per atom
electronic total energy	-6.4035	eV/atom
total moment	0.01	μB per cell

Record 3
Compound: AlReSb
Source: OQMD
Functional: PBE
Structure: optimized geometry

Lattice parameters (Å, degrees): 4.352 4.352 4.352 60.00 60.00 60.00
Sites, in units of the cell vectors:
Al (0.000, 0.000, 0.000)
Re (0.750, 0.750, 0.750)
Sb (0.250, 0.250, 0.250)

Values from the calculation:
V	19.43	Å³ per atom
distance to the lowest polymorph of the same formula	0.00	eV/f.u.
electronic total energy	-5.9781	eV/atom
total moment	0.00	μB per cell

Record 4
Compound: Sc2AlRe3
Source: OQMD
Functional: PBE
Structure: optimized geometry

Lattice parameters (Å, degrees): 5.234 5.234 8.678 90.00 90.00 120.00
Sites, in units of the cell vectors:
Sc (0.333, 0.667, 0.067)
Sc (0.333, 0.667, 0.433)
Sc (0.667, 0.333, 0.567)
Sc (0.667, 0.333, 0.933)
Al (0.000, 0.000, 0.000)
Al (0.000, 0.000, 0.500)
Re (0.171, 0.342, 0.750)
Re (0.171, 0.829, 0.750)
Re (0.342, 0.171, 0.250)
Re (0.658, 0.829, 0.750)
Re (0.829, 0.171, 0.250)
Re (0.829, 0.658, 0.250)

Values from the calculation:
V	17.16	Å³ per atom
electronic total energy	-9.3413	eV/atom
total moment	0.01	μB per cell

Record 5
Compound: Sc2AlRe
Source: OQMD
Functional: PBE
Structure: optimized geometry

Lattice parameters (Å, degrees): 4.630 4.630 4.630 60.00 60.00 60.00
Sites, in units of the cell vectors:
Sc (0.000, 0.000, 0.000)
Sc (0.250, 0.250, 0.250)
Al (0.500, 0.500, 0.500)
Re (0.750, 0.750, 0.750)

Values from the calculation:
V	17.54	Å³ per atom
electronic total energy	-7.3204	eV/atom
total moment	0.27	μB per cell

Record 6
Compound: Sc2AlRe
Source: OQMD
Functional: PBE
Structure: optimized geometry

Lattice parameters (Å, degrees): 3.364 3.364 6.512 90.00 90.00 90.00
Sites, in units of the cell vectors:
Sc (0.000, 0.000, 0.229)
Sc (0.000, 0.000, 0.771)
Al (0.500, 0.500, 0.500)
Re (0.500, 0.500, 0.000)

Values from the calculation:
V	18.43	Å³ per atom
electronic total energy	-7.4679	eV/atom
total moment	0.00	μB per cell

Record 7
Compound: Al2ReSi2
Source: OQMD
Functional: PBE
Structure: optimized geometry

Lattice parameters (Å, degrees): 6.921 6.921 6.921 151.64 151.64 40.54
Sites, in units of the cell vectors:
Al (0.095, 0.095, 0.000)
Al (0.905, 0.905, 0.000)
Re (0.500, 0.500, 0.000)
Si (0.250, 0.750, 0.500)
Si (0.750, 0.250, 0.500)

Values from the calculation:
V	14.93	Å³ per atom
distance to the lowest polymorph of the same formula	0.00	eV/f.u.
electronic total energy	-5.7703	eV/atom
total moment	0.01	μB per cell

Record 8
Compound: Al2ReSi2
Source: OQMD
Functional: PBE
Structure: optimized geometry

Lattice parameters (Å, degrees): 6.536 6.536 6.536 148.65 148.65 44.93
Sites, in units of the cell vectors:
Al (0.250, 0.750, 0.500)
Al (0.750, 0.250, 0.500)
Re (0.000, 0.000, 0.000)
Si (0.403, 0.403, 0.000)
Si (0.597, 0.597, 0.000)

Values from the calculation:
V	15.07	Å³ per atom
distance to the lowest polymorph of the same formula	0.90	eV/f.u.
electronic total energy	-5.5896	eV/atom
total moment	0.04	μB per cell

Record 9
Compound: Sm2AlRe3
Source: OQMD
Functional: PBE
Structure: optimized geometry

Lattice parameters (Å, degrees): 5.374 5.374 9.234 90.00 90.00 120.00
Sites, in units of the cell vectors:
Sm (0.333, 0.667, 0.067)
Sm (0.333, 0.667, 0.433)
Sm (0.667, 0.333, 0.567)
Sm (0.667, 0.333, 0.933)
Al (0.000, 0.000, 0.000)
Al (0.000, 0.000, 0.500)
Re (0.169, 0.338, 0.750)
Re (0.169, 0.831, 0.750)
Re (0.338, 0.169, 0.250)
Re (0.662, 0.831, 0.750)
Re (0.831, 0.169, 0.250)
Re (0.831, 0.662, 0.250)

Values from the calculation:
V	19.25	Å³ per atom
electronic total energy	-8.6094	eV/atom
total moment	0.00	μB per cell

Record 10
Compound: Sr3AlRe
Source: OQMD
Functional: PBE
Structure: optimized geometry

Lattice parameters (Å, degrees): 10.541 10.541 5.138 90.00 90.00 120.00
Sites, in units of the cell vectors:
Sr (0.174, 0.348, 0.250)
Sr (0.174, 0.826, 0.250)
Sr (0.348, 0.174, 0.750)
Sr (0.652, 0.826, 0.250)
Sr (0.826, 0.174, 0.750)
Sr (0.826, 0.652, 0.750)
Al (0.000, 0.000, 0.000)
Al (0.000, 0.000, 0.500)
Re (0.333, 0.667, 0.250)
Re (0.667, 0.333, 0.750)

Values from the calculation:
V	49.44	Å³ per atom
electronic total energy	-2.8325	eV/atom
total moment	4.77	μB per cell

Record 11
Compound: SrAlRe
Source: OQMD
Functional: PBE
Structure: optimized geometry

Lattice parameters (Å, degrees): 4.654 4.654 4.654 60.00 60.00 60.00
Sites, in units of the cell vectors:
Sr (0.000, 0.000, 0.000)
Al (0.500, 0.500, 0.500)
Re (0.750, 0.750, 0.750)

Values from the calculation:
V	23.76	Å³ per atom
distance to the lowest polymorph of the same formula	0.00	eV/f.u.
electronic total energy	-4.8656	eV/atom
total moment	0.07	μB per cell

Record 12
Compound: SrAl3Re
Source: OQMD
Functional: PBE
Structure: optimized geometry

Lattice parameters (Å, degrees): 6.781 6.781 4.947 90.00 90.00 90.00
Sites, in units of the cell vectors:
Sr (0.250, 0.750, 0.000)
Sr (0.750, 0.250, 0.000)
Al (0.000, 0.000, 0.500)
Al (0.000, 0.500, 0.500)
Al (0.250, 0.250, 0.105)
Al (0.500, 0.000, 0.500)
Al (0.500, 0.500, 0.500)
Al (0.750, 0.750, 0.895)
Re (0.250, 0.250, 0.610)
Re (0.750, 0.750, 0.390)

Values from the calculation:
V	22.75	Å³ per atom
electronic total energy	-5.2999	eV/atom
total moment	0.00	μB per cell

Record 13
Compound: Ta2AlRe
Source: OQMD
Functional: PBE
Structure: optimized geometry

Lattice parameters (Å, degrees): 4.529 4.529 4.529 60.00 60.00 60.00
Sites, in units of the cell vectors:
Ta (0.000, 0.000, 0.000)
Ta (0.250, 0.250, 0.250)
Al (0.500, 0.500, 0.500)
Re (0.750, 0.750, 0.750)

Values from the calculation:
V	16.42	Å³ per atom
electronic total energy	-10.0242	eV/atom
total moment	0.09	μB per cell

Record 14
Compound: TaAlRe
Source: OQMD
Functional: PBE
Structure: optimized geometry

Lattice parameters (Å, degrees): 4.324 4.324 4.324 60.00 60.00 60.00
Sites, in units of the cell vectors:
Ta (0.000, 0.000, 0.000)
Al (0.500, 0.500, 0.500)
Re (0.750, 0.750, 0.750)

Values from the calculation:
V	19.06	Å³ per atom
distance to the lowest polymorph of the same formula	0.00	eV/f.u.
electronic total energy	-9.0561	eV/atom
total moment	0.62	μB per cell

Record 15
Compound: TbAlRe
Source: OQMD
Functional: PBE
Structure: optimized geometry

Lattice parameters (Å, degrees): 4.493 4.493 4.493 60.00 60.00 60.00
Sites, in units of the cell vectors:
Tb (0.000, 0.000, 0.000)
Al (0.750, 0.750, 0.750)
Re (0.500, 0.500, 0.500)

Values from the calculation:
V	21.38	Å³ per atom
electronic total energy	-6.4690	eV/atom
total moment	0.15	μB per cell

Record 16
Compound: Al4ReTc
Source: OQMD
Functional: PBE
Structure: optimized geometry

Lattice parameters (Å, degrees): 3.207 3.207 8.506 90.00 90.00 90.00
Sites, in units of the cell vectors:
Al (0.000, 0.000, 0.158)
Al (0.000, 0.000, 0.842)
Al (0.500, 0.500, 0.339)
Al (0.500, 0.500, 0.661)
Re (0.000, 0.000, 0.500)
Tc (0.500, 0.500, 0.000)

Values from the calculation:
V	14.58	Å³ per atom
electronic total energy	-6.6118	eV/atom
total moment	1.29	μB per cell

Record 17
Compound: Al2ReTc
Source: OQMD
Functional: PBE
Structure: optimized geometry

Lattice parameters (Å, degrees): 3.093 3.093 5.989 90.00 90.00 90.00
Sites, in units of the cell vectors:
Al (0.000, 0.000, 0.000)
Al (0.500, 0.500, 0.261)
Re (0.000, 0.000, 0.499)
Tc (0.500, 0.500, 0.766)

Values from the calculation:
V	14.32	Å³ per atom
distance to the lowest polymorph of the same formula	0.00	eV/f.u.
electronic total energy	-7.9262	eV/atom
total moment	0.00	μB per cell

Record 18
Compound: AlReTc2
Source: OQMD
Functional: PBE
Structure: optimized geometry

Lattice parameters (Å, degrees): 4.348 4.348 4.348 60.00 60.00 60.00
Sites, in units of the cell vectors:
Al (0.000, 0.000, 0.000)
Re (0.250, 0.250, 0.250)
Tc (0.500, 0.500, 0.500)
Tc (0.750, 0.750, 0.750)

Values from the calculation:
V	14.53	Å³ per atom
electronic total energy	-9.2499	eV/atom
total moment	0.02	μB per cell

Record 19
Compound: Al2ReTc
Source: OQMD
Functional: PBE
Structure: optimized geometry

Lattice parameters (Å, degrees): 4.338 4.338 4.338 60.00 60.00 60.00
Sites, in units of the cell vectors:
Al (0.000, 0.000, 0.000)
Al (0.250, 0.250, 0.250)
Re (0.750, 0.750, 0.750)
Tc (0.500, 0.500, 0.500)

Values from the calculation:
V	14.43	Å³ per atom
distance to the lowest polymorph of the same formula	0.85	eV/f.u.
electronic total energy	-7.7146	eV/atom
total moment	0.03	μB per cell

Record 20
Compound: ThAlRe
Source: OQMD
Functional: PBE
Structure: optimized geometry

Lattice parameters (Å, degrees): 4.613 4.613 4.613 60.00 60.00 60.00
Sites, in units of the cell vectors:
Th (0.000, 0.000, 0.000)
Al (0.500, 0.500, 0.500)
Re (0.250, 0.250, 0.250)

Values from the calculation:
V	23.14	Å³ per atom
electronic total energy	-7.7673	eV/atom
total moment	0.00	μB per cell